(1)
The following is a DFT calculation (PBE) of a relaxed CsNaGe2Br6 crystal.

a b c (Å): 9.9297 9.9297 10.6726
angles (deg): 108.50 108.50 103.16
Sites, in units of the cell vectors:
Cs: 0.1066 0.8934 0.7500
Cs: 0.8934 0.1066 0.2500
Na: 0.2256 0.7744 0.2500
Na: 0.7744 0.2256 0.7500
Ge: 0.2750 0.4292 0.8182
Ge: 0.4292 0.2750 0.3182
Ge: 0.5708 0.7250 0.6818
Ge: 0.7250 0.5708 0.1818
Br: 0.0176 0.2036 0.6522
Br: 0.1586 0.6068 0.9383
Br: 0.2036 0.0176 0.1522
Br: 0.3221 0.3565 0.5014
Br: 0.3565 0.3221 0.0014
Br: 0.3932 0.8414 0.5617
Br: 0.6068 0.1586 0.4383
Br: 0.6435 0.6779 0.9986
Br: 0.6779 0.6435 0.4986
Br: 0.7964 0.9824 0.8478
Br: 0.8414 0.3932 0.0617
Br: 0.9824 0.7964 0.3478

Summary:
Mass density = 2.9 Mg/m³
Fermi-level density of states = 0.000 states/eV per cell
Total magnetization = 0.000 μB/atom
Formation energy without anion corrections = -1.00 eV per atom


(2)
The following is a DFT calculation (PBE) of a relaxed Cs2NaGeBr5 crystal.

a b c (Å): 10.5433 10.5433 15.4290
angles (deg): 90.00 90.00 155.27
Sites, in units of the cell vectors:
Cs: 0.0913 0.9087 0.5000
Cs: 0.1343 0.8657 0.1262
Cs: 0.8657 0.1343 0.6262
Cs: 0.9087 0.0913 0.0000
Na: 0.4337 0.5663 0.2878
Na: 0.5663 0.4337 0.7878
Ge: 0.2218 0.7782 0.8542
Ge: 0.7782 0.2218 0.3542
Br: 0.0729 0.9271 0.8954
Br: 0.2678 0.7322 0.4755
Br: 0.2979 0.7021 0.2343
Br: 0.3475 0.6525 0.8252
Br: 0.4989 0.5011 0.1304
Br: 0.5011 0.4989 0.6304
Br: 0.6525 0.3475 0.3252
Br: 0.7021 0.2979 0.7343
Br: 0.7322 0.2678 0.9755
Br: 0.9271 0.0729 0.3954

Summary:
Mass density = 3.5 Mg/m³
Fermi-level density of states = 0.000 states/eV per cell
Total magnetization = 0.000 μB/atom
Formation energy without anion corrections = -1.31 eV per atom


| no. | volume (Å³/f.u.) |
| --- | --- |
| 1 | 440 |
| 2 | 359 |